<one>
Material: CuReSi
Method: DFT, GGA-PBE
State: relaxed

Total magnetization, μB per formula unit: 0.000
Density of states at the Fermi level, states/eV per atom: 0.7506
Crystal system: orthorhombic

```
3
Lattice="-1.320 1.903 3.977 1.320 -1.903 3.977 1.320 1.903 -3.977" Properties=species:S:1:pos:R:3 pbc="T T T"
Cu 0.000 0.000 0.000
Re 0.000 0.000 2.637
Si 0.000 0.000 5.319
```

<two>
Material: CuReSi
Method: DFT, GGA-PBE
State: relaxed

Total magnetization, μB per formula unit: 0.000
Density of states at the Fermi level, states/eV per atom: 0.7716
Crystal system: cubic

```
3
Lattice="0.000 2.807 2.807 2.807 0.000 2.807 2.807 2.807 0.000" Properties=species:S:1:pos:R:3 pbc="T T T"
Cu 0.000 0.000 0.000
Re 2.807 2.807 2.807
Si 1.404 1.404 1.404
```

<three>
Material: CuReSi
Method: DFT, GGA-PBE
State: relaxed

Total magnetization, μB per formula unit: 1.168
Density of states at the Fermi level, states/eV per atom: 0.4533
Crystal system: cubic

```
3
Lattice="0.000 2.892 2.892 2.892 0.000 2.892 2.892 2.892 0.000" Properties=species:S:1:pos:R:3 pbc="T T T"
Cu 0.000 0.000 0.000
Re 4.338 4.338 4.338
Si 2.892 2.892 2.892
```

Relative energies in kJ/mol of atoms: <one> 0.0; <two> 2.2; <three> 31.1

<one>
Material: CuReSi
Method: DFT, GGA-PBE
State: relaxed

Total magnetization, μB per formula unit: 0.000
Density of states at the Fermi level, states/eV per atom: 0.8090
Crystal system: trigonal

```
3
Lattice="2.805 0.000 0.000 -1.402 2.429 0.000 0.000 0.000 6.045" Properties=species:S:1:pos:R:3 pbc="T T T"
Cu 0.000 0.000 0.000
Re 1.402 0.810 2.202
Si 0.000 1.619 4.119
```

<two>
Material: CuReSi
Method: DFT, GGA-PBE
State: relaxed

Total magnetization, μB per formula unit: 0.000
Density of states at the Fermi level, states/eV per atom: 0.3831
Crystal system: trigonal

```
3
Lattice="4.124 0.000 0.000 -2.062 3.572 0.000 0.000 0.000 2.638" Properties=species:S:1:pos:R:3 pbc="T T T"
Cu 0.000 0.000 0.000
Re 2.062 1.191 1.337
Si 0.000 2.381 2.535
```

Relative energies in kJ/mol of atoms: <one> 11.7; <two> 0.0

<one>
Material: CuReSi
Method: DFT, GGA-PBE
State: relaxed

Total magnetization, μB per formula unit: 0.000
Density of states at the Fermi level, states/eV per atom: 0.7639
Crystal system: orthorhombic

```
3
Lattice="0.000 2.327 6.113 1.470 0.000 6.113 1.470 2.327 0.000" Properties=species:S:1:pos:R:3 pbc="T T T"
Cu 0.000 0.000 0.000
Re 1.470 2.327 8.365
Si 1.470 2.327 4.183
```

<two>
Material: CuReSi
Method: DFT, GGA-PBE
State: relaxed

Total magnetization, μB per formula unit: 0.000
Density of states at the Fermi level, states/eV per atom: 0.7396
Crystal system: tetragonal

```
3
Lattice="-1.510 1.510 4.332 1.510 -1.510 4.332 1.510 1.510 -4.332" Properties=species:S:1:pos:R:3 pbc="T T T"
Cu 0.000 0.000 0.000
Re 0.000 0.000 2.701
Si 0.000 0.000 5.693
```

Relative energies in kJ/mol of atoms: <one> 14.8; <two> 0.0

<one>
Material: Cu3ReSi
Method: DFT, GGA-PBE
State: relaxed

Total magnetization, μB per formula unit: 0.001
Density of states at the Fermi level, states/eV per atom: 1.4893
Crystal system: cubic

```
5
Lattice="4.647 0.000 0.000 0.000 4.647 0.000 0.000 0.000 4.647" Properties=species:S:1:pos:R:3 pbc="T T T"
Cu 0.000 0.000 2.323
Cu 0.000 2.323 0.000
Cu 2.323 0.000 0.000
Re 0.000 0.000 0.000
Si 2.323 2.323 2.323
```

<two>
Material: Cu3ReSi
Method: DFT, GGA-PBE
State: relaxed

Total magnetization, μB per formula unit: 2.079
Density of states at the Fermi level, states/eV per atom: 0.5672
Crystal system: cubic

```
5
Lattice="4.247 0.000 0.000 0.000 4.247 0.000 0.000 0.000 4.247" Properties=species:S:1:pos:R:3 pbc="T T T"
Cu 0.000 0.000 2.124
Cu 0.000 2.124 0.000
Cu 2.124 0.000 0.000
Re 2.124 2.124 2.124
Si 0.000 0.000 0.000
```

Relative energies in kJ/mol of atoms: <one> 52.3; <two> 0.0

<one>
Material: Cu2ReSi2
Method: DFT, GGA-PBE
State: relaxed

Total magnetization, μB per formula unit: 0.000
Density of states at the Fermi level, states/eV per atom: 0.9846
Crystal system: tetragonal

```
5
Lattice="-1.746 1.746 5.540 1.746 -1.746 5.540 1.746 1.746 -5.540" Properties=species:S:1:pos:R:3 pbc="T T T"
Cu 0.000 0.000 1.168
Cu 0.000 0.000 9.911
Re 0.000 0.000 5.540
Si 1.746 0.000 2.770
Si 0.000 1.746 2.770
```

<two>
Material: Cu2ReSi2
Method: DFT, GGA-PBE
State: relaxed

Total magnetization, μB per formula unit: 0.000
Density of states at the Fermi level, states/eV per atom: 0.4499
Crystal system: tetragonal

```
5
Lattice="-1.607 1.607 6.552 1.607 -1.607 6.552 1.607 1.607 -6.552" Properties=species:S:1:pos:R:3 pbc="T T T"
Cu 1.607 0.000 3.276
Cu 0.000 1.607 3.276
Re 0.000 0.000 0.000
Si 0.000 0.000 5.235
Si 0.000 0.000 7.870
```

Relative energies in kJ/mol of atoms: <one> 43.6; <two> 0.0

<one>
Material: ZrCuReSn2
Method: DFT, GGA-PBE
State: relaxed

Total magnetization, μB per formula unit: 2.077
Density of states at the Fermi level, states/eV per atom: 0.8026
Crystal system: tetragonal

```
5
Lattice="5.534 0.000 0.000 0.000 5.534 0.000 0.000 0.000 4.952" Properties=species:S:1:pos:R:3 pbc="T T T"
Zr 0.000 0.000 0.000
Cu 2.767 2.767 2.476
Re 0.000 0.000 2.476
Sn 0.000 2.767 0.000
Sn 2.767 0.000 0.000
```

<two>
Material: ZrCuReSn2
Method: DFT, GGA-PBE
State: relaxed

Total magnetization, μB per formula unit: 1.511
Density of states at the Fermi level, states/eV per atom: 0.9267
Crystal system: tetragonal

```
5
Lattice="4.814 0.000 0.000 0.000 4.814 0.000 0.000 0.000 4.720" Properties=species:S:1:pos:R:3 pbc="T T T"
Zr 0.000 0.000 0.000
Cu 2.407 2.407 2.360
Re 2.407 2.407 0.000
Sn 0.000 2.407 2.360
Sn 2.407 0.000 2.360
```

Relative energies in kJ/mol of atoms: <one> 55.2; <two> 0.0

<one>
Material: SrCu2Re
Method: DFT, GGA-PBE
State: relaxed

Total magnetization, μB per formula unit: 2.772
Density of states at the Fermi level, states/eV per atom: 0.6279
Crystal system: tetragonal

```
8
Lattice="-2.399 2.399 8.548 2.399 -2.399 8.548 2.399 2.399 -8.548" Properties=species:S:1:pos:R:3 pbc="T T T"
Sr 2.399 1.199 2.137
Sr 0.000 1.199 6.411
Cu 0.000 0.000 0.000
Cu 1.199 1.199 -4.274
Cu 1.199 -1.199 4.274
Cu 0.000 2.399 0.000
Re 2.399 -1.199 6.411
Re 0.000 3.598 2.137
```

<two>
Material: SrCu2Re
Method: DFT, GGA-PBE
State: relaxed

Total magnetization, μB per formula unit: 0.000
Density of states at the Fermi level, states/eV per atom: 0.7985
Crystal system: tetragonal

```
4
Lattice="4.889 0.000 0.000 0.000 4.889 0.000 0.000 0.000 2.827" Properties=species:S:1:pos:R:3 pbc="T T T"
Sr 0.000 0.000 0.000
Cu 0.000 2.445 1.414
Cu 2.445 0.000 1.414
Re 2.445 2.445 0.000
```

<three>
Material: SrCu2Re
Method: DFT, GGA-PBE
State: relaxed

Total magnetization, μB per formula unit: 0.000
Density of states at the Fermi level, states/eV per atom: 1.1869
Crystal system: trigonal

```
4
Lattice="1.442 0.833 9.553 -1.442 0.833 9.553 0.000 -1.665 9.553" Properties=species:S:1:pos:R:3 pbc="T T T"
Sr 0.000 0.000 0.000
Cu 0.000 0.000 6.842
Cu 0.000 0.000 21.815
Re 0.000 0.000 14.329
```

<four>
Material: SrCu2Re
Method: DFT, GGA-PBE
State: relaxed

Total magnetization, μB per formula unit: 0.000
Density of states at the Fermi level, states/eV per atom: 0.9672
Crystal system: orthorhombic

```
4
Lattice="-1.390 2.488 5.005 1.390 -2.488 5.005 1.390 2.488 -5.005" Properties=species:S:1:pos:R:3 pbc="T T T"
Sr 0.000 0.000 0.000
Cu 1.390 0.000 2.737
Cu 0.000 0.000 4.856
Re 0.000 2.488 2.110
```

Relative energies in kJ/mol of atoms: <one> 22.2; <two> 0.0; <three> 23.0; <four> 4.7

<one>
Material: SrCu2Re
Method: DFT, GGA-PBE
State: relaxed

Total magnetization, μB per formula unit: 2.474
Density of states at the Fermi level, states/eV per atom: 0.6753
Crystal system: cubic

```
4
Lattice="0.000 3.333 3.333 3.333 0.000 3.333 3.333 3.333 0.000" Properties=species:S:1:pos:R:3 pbc="T T T"
Sr 0.000 0.000 0.000
Cu 1.667 1.667 1.667
Cu 5.000 5.000 5.000
Re 3.333 3.333 3.333
```

<two>
Material: SrCu2Re
Method: DFT, GGA-PBE
State: relaxed

Total magnetization, μB per formula unit: 0.000
Density of states at the Fermi level, states/eV per atom: 0.8958
Crystal system: monoclinic

```
4
Lattice="4.435 -1.388 0.000 4.435 1.388 0.000 -0.759 0.000 6.078" Properties=species:S:1:pos:R:3 pbc="T T T"
Sr 0.000 0.000 0.000
Cu 1.609 0.000 4.038
Cu 6.502 0.000 2.040
Re 4.055 0.000 3.039
```

<three>
Material: SrCu2Re
Method: DFT, GGA-PBE
State: relaxed

Total magnetization, μB per formula unit: 0.000
Density of states at the Fermi level, states/eV per atom: 0.6046
Crystal system: tetragonal

```
4
Lattice="2.901 0.000 0.000 0.000 2.901 0.000 0.000 0.000 8.121" Properties=species:S:1:pos:R:3 pbc="T T T"
Sr 0.000 0.000 0.000
Cu 0.000 0.000 3.885
Cu 1.451 1.451 2.453
Re 1.451 1.451 5.545
```

Relative energies in kJ/mol of atoms: <one> 22.6; <two> 0.0; <three> 1.4

<one>
Material: SrCuRe2
Method: DFT, GGA-PBE
State: relaxed

Total magnetization, μB per formula unit: 0.000
Density of states at the Fermi level, states/eV per atom: 0.7861
Crystal system: orthorhombic

```
4
Lattice="-1.387 2.358 5.386 1.387 -2.358 5.386 1.387 2.358 -5.386" Properties=species:S:1:pos:R:3 pbc="T T T"
Sr 0.000 0.000 0.000
Cu 0.000 0.000 5.386
Re 1.387 0.000 3.038
Re 0.000 2.358 2.348
```

<two>
Material: SrCuRe2
Method: DFT, GGA-PBE
State: relaxed

Total magnetization, μB per formula unit: 0.000
Density of states at the Fermi level, states/eV per atom: 1.1368
Crystal system: cubic

```
4
Lattice="0.000 3.273 3.273 3.273 0.000 3.273 3.273 3.273 0.000" Properties=species:S:1:pos:R:3 pbc="T T T"
Sr 0.000 0.000 0.000
Cu 1.636 1.636 1.636
Re 3.273 3.273 3.273
Re 4.909 4.909 4.909
```

<three>
Material: SrCuRe2
Method: DFT, GGA-PBE
State: relaxed

Total magnetization, μB per formula unit: 0.000
Density of states at the Fermi level, states/eV per atom: 0.6239
Crystal system: monoclinic

```
4
Lattice="2.774 0.000 0.000 0.000 5.220 0.000 -0.498 0.000 4.986" Properties=species:S:1:pos:R:3 pbc="T T T"
Sr 0.000 0.000 0.000
Cu 1.138 0.000 2.493
Re 0.561 2.610 3.748
Re 1.715 2.610 1.238
```

Relative energies in kJ/mol of atoms: <one> 0.0; <two> 22.0; <three> 18.4

<one>
Material: SrCuRe2
Method: DFT, GGA-PBE
State: relaxed

Total magnetization, μB per formula unit: 0.000
Density of states at the Fermi level, states/eV per atom: 0.7555
Crystal system: monoclinic

```
4
Lattice="2.711 -5.174 0.000 2.711 5.174 0.000 -1.017 0.000 2.533" Properties=species:S:1:pos:R:3 pbc="T T T"
Sr 0.000 0.000 0.000
Cu 2.711 0.000 0.000
Re 0.847 2.587 1.267
Re 0.847 -2.587 1.267
```

<two>
Material: SrCuRe2
Method: DFT, GGA-PBE
State: relaxed

Total magnetization, μB per formula unit: 0.000
Density of states at the Fermi level, states/eV per atom: 0.7128
Crystal system: tetragonal

```
4
Lattice="-1.912 1.912 5.092 1.912 -1.912 5.092 1.912 1.912 -5.092" Properties=species:S:1:pos:R:3 pbc="T T T"
Sr 0.000 0.000 0.000
Cu 0.000 0.000 5.092
Re 1.912 0.000 2.546
Re 0.000 1.912 2.546
```

<three>
Material: SrCuRe2
Method: DFT, GGA-PBE
State: relaxed

Total magnetization, μB per formula unit: 0.000
Density of states at the Fermi level, states/eV per atom: 1.0776
Crystal system: tetragonal

```
8
Lattice="-2.046 2.046 9.925 2.046 -2.046 9.925 2.046 2.046 -9.925" Properties=species:S:1:pos:R:3 pbc="T T T"
Sr 0.000 0.000 0.000
Sr 0.000 2.046 4.962
Cu 2.046 0.000 4.962
Cu 0.000 0.000 9.925
Re 1.023 1.400 -2.481
Re 2.691 1.023 2.481
Re 1.023 0.646 7.444
Re -0.646 1.023 12.406
```

Relative energies in kJ/mol of atoms: <one> 0.0; <two> 11.4; <three> 8.5

<one>
Material: SrCuRe2
Method: DFT, GGA-PBE
State: relaxed

Total magnetization, μB per formula unit: 0.000
Density of states at the Fermi level, states/eV per atom: 1.1415
Crystal system: trigonal

```
4
Lattice="2.149 1.241 5.663 -2.149 1.241 5.663 0.000 -2.482 5.663" Properties=species:S:1:pos:R:3 pbc="T T T"
Sr 0.000 0.000 0.000
Cu 0.000 0.000 3.402
Re 0.000 0.000 8.262
Re 0.000 0.000 13.681
```

<two>
Material: SrCuRe2
Method: DFT, GGA-PBE
State: relaxed

Total magnetization, μB per formula unit: 0.000
Density of states at the Fermi level, states/eV per atom: 0.7103
Crystal system: tetragonal

```
4
Lattice="2.723 0.000 0.000 0.000 2.723 0.000 0.000 0.000 9.259" Properties=species:S:1:pos:R:3 pbc="T T T"
Sr 0.000 0.000 0.000
Cu 0.000 0.000 4.629
Re 1.362 1.362 2.720
Re 1.362 1.362 6.539
```

<three>
Material: SrCuRe2
Method: DFT, GGA-PBE
State: relaxed

Total magnetization, μB per formula unit: 0.000
Density of states at the Fermi level, states/eV per atom: 0.8883
Crystal system: orthorhombic

```
4
Lattice="3.112 0.000 0.000 0.000 4.477 0.000 0.000 0.000 5.165" Properties=species:S:1:pos:R:3 pbc="T T T"
Sr 0.000 0.000 0.000
Cu 1.556 2.239 0.000
Re 0.000 2.239 2.583
Re 1.556 0.000 2.583
```

Relative energies in kJ/mol of atoms: <one> 0.0; <two> 47.9; <three> 51.0